1.
Below is a PBEsol-optimized structure of ZrTe2SI, with properties calculated at the SCAN level.

## Properties
**Crystal system**: tetragonal
**DFT total energy**: -30.643 eV per atom
**Excess energy over the best structure of this formula in the dataset**: 0 meV/atom
**Formation energy without anion corrections**: -0.3286 eV per atom

Lattice parameters (Å, degrees): 5.608 5.608 4.811 90.00 90.00 90.00
Space group P4/mmm (No. 123)
Unique sites:
Zr 0.000 0.000 0.000
Te 0.000 0.500 0.000
S 0.000 0.000 0.500
I 0.500 0.500 0.500



2.
Below is a PBEsol-optimized structure of YAlTeN2, with properties calculated at the SCAN level.

## Properties
**Crystal system**: tetragonal
**DFT total energy**: -17.663 eV per atom
**Formation energy without anion corrections**: 0.6227 eV per atom

Lattice parameters (Å, degrees): 4.274 4.274 6.192 90.00 90.00 90.00
Space group P4/mmm (No. 123)
Unique sites:
Y 0.000 0.000 0.000
Al 0.500 0.500 0.500
Te 0.000 0.000 0.500
N 0.000 0.500 0.000



3.
Below is a PBEsol-optimized structure of YTcIr2, with properties calculated at the SCAN level.

## Properties
**Crystal system**: orthorhombic
**DFT total energy**: -51.385 eV per atom
**Excess energy over the best structure of this formula in the dataset**: 170 meV/atom

Lattice parameters (Å, degrees): 2.828 3.897 6.076 90.00 90.00 90.00
Space group Pmm2 (No. 25)
Unique sites:
Y 0.000 0.000 0.000
Tc 0.500 0.500 0.680
Ir 0.000 0.000 0.508
Ir 0.500 0.500 0.260



4.
Below is a PBEsol-optimized structure of ZnSbTeN2, with properties calculated at the SCAN level.

## Properties
**Crystal system**: tetragonal
**DFT total energy**: -20.177 eV per atom
**Excess energy over the best structure of this formula in the dataset**: 0 meV/atom
**Formation energy without anion corrections**: 1.1446 eV per atom

Lattice parameters (Å, degrees): 3.976 3.976 6.179 90.00 90.00 90.00
Space group P4/mmm (No. 123)
Unique sites:
Zn 0.000 0.000 0.000
Sb 0.500 0.500 0.500
Te 0.500 0.500 0.000
N 0.000 0.500 0.500